[1]
# PBE Nd5SmTl4, optimized geometry
# Volume, Å³ per cell: 307.8
# DOS at the Fermi energy, states/eV/f.u.: 10.53
# ΔH_f (0 K), eV/f.u.: -2.96
# Distance to the lowest polymorph of the same formula, kJ per mole of atoms: 0.0
data_Nd5SmTl4
_chemical_formula_sum 'Nd5 Sm1 Tl4'
_symmetry_space_group_name_H-M 'P 4/m m m'
_symmetry_Int_Tables_number 123
_symmetry_space_group_name_Hall '-P 4 2'
_cell_length_a 3.680
_cell_length_b 3.680
_cell_length_c 22.722
_cell_angle_alpha 90.00
_cell_angle_beta 90.00
_cell_angle_gamma 90.00
loop_
_atom_site_label
_atom_site_type_symbol
_atom_site_fract_x
_atom_site_fract_y
_atom_site_fract_z
Nd1 Nd 0.000 0.000 0.000
Nd2 Nd 0.000 0.000 0.193
Nd3 Nd 0.000 0.000 0.386
Sm1 Sm 0.500 0.500 0.500
Tl1 Tl 0.500 0.500 0.097
Tl2 Tl 0.500 0.500 0.290


[2]
# PBE K2ScGeS4, optimized geometry
# Volume, Å³ per cell: 484.4
# DOS at the Fermi energy, states/eV/f.u.: 2.72
# Formation energy (no corrections), eV/atom: -1.078
data_K2ScGeS4
_chemical_formula_sum 'K4 Sc2 Ge2 S8'
_symmetry_space_group_name_H-M 'P m n 21'
_symmetry_Int_Tables_number 31
_cell_length_a 8.227
_cell_length_b 8.853
_cell_length_c 6.651
_cell_angle_alpha 90.00
_cell_angle_beta 90.00
_cell_angle_gamma 90.00
loop_
_symmetry_equiv_pos_as_xyz
'x,y,z'
'-x+1/2,-y,z+1/2'
'-x,y,z'
'x+1/2,-y,z+1/2'
loop_
_atom_site_label
_atom_site_type_symbol
_atom_site_fract_x
_atom_site_fract_y
_atom_site_fract_z
K1 K 0.245 0.157 0.000
Sc1 Sc 0.000 0.363 0.468
Ge1 Ge 0.000 0.652 0.964
S1 S 0.000 0.412 0.106
S2 S 0.000 0.612 0.620
S3 S 0.247 0.204 0.520


[3]
# PBE Cd3BW, optimized geometry
# Volume, Å³ per cell: 153.2
# DOS at the Fermi energy, states/eV/f.u.: 5.83
# ΔH_f (0 K), eV/f.u.: 10.61
# Distance to the lowest polymorph of the same formula, kJ per mole of atoms: 71.5
data_Cd3BW
_chemical_formula_sum 'Cd3 B1 W1'
_symmetry_space_group_name_H-M 'P m -3 m'
_symmetry_Int_Tables_number 221
_symmetry_space_group_name_Hall '-P 4 2 3'
_cell_length_a 5.351
_cell_length_b 5.351
_cell_length_c 5.351
_cell_angle_alpha 90.00
_cell_angle_beta 90.00
_cell_angle_gamma 90.00
loop_
_atom_site_label
_atom_site_type_symbol
_atom_site_fract_x
_atom_site_fract_y
_atom_site_fract_z
Cd1 Cd 0.000 0.000 0.500
B1 B 0.500 0.500 0.500
W1 W 0.000 0.000 0.000


[4]
# PBE Th4Bi3Rh, optimized geometry
# Volume, Å³ per cell: 520.8
# DOS at the Fermi energy, states/eV/f.u.: 4.98
# ΔH_f (0 K), eV/f.u.: -5.05
data_Th4Bi3Rh
_chemical_formula_sum 'Th8 Bi6 Rh2'
_symmetry_space_group_name_H-M 'P 1 2/c 1'
_symmetry_Int_Tables_number 13
_cell_length_a 8.004
_cell_length_b 9.094
_cell_length_c 7.563
_cell_angle_alpha 90.00
_cell_angle_beta 108.90
_cell_angle_gamma 90.00
loop_
_symmetry_equiv_pos_as_xyz
'x,y,z'
'-x,-y,-z'
'-x,y,-z+1/2'
'x,-y,z+1/2'
loop_
_atom_site_label
_atom_site_type_symbol
_atom_site_fract_x
_atom_site_fract_y
_atom_site_fract_z
Th1 Th 0.210 0.112 0.016
Th2 Th 0.233 0.349 0.479
Bi1 Bi 0.000 0.381 0.750
Bi2 Bi 0.500 0.121 0.750
Bi3 Bi 0.500 0.385 0.250
Rh1 Rh 0.000 0.119 0.250


[5]
# PBE YInOs2, optimized geometry
# Volume, Å³ per cell: 148.1
# DOS at the Fermi energy, states/eV/f.u.: 4.69
# ΔH_f (0 K), eV/f.u.: 2.21
data_YInOs2
_chemical_formula_sum 'Y2 In2 Os4'
_symmetry_space_group_name_H-M 'C m m m'
_symmetry_Int_Tables_number 65
_symmetry_space_group_name_Hall '-C 2 2'
_cell_length_a 3.333
_cell_length_b 4.952
_cell_length_c 8.972
_cell_angle_alpha 90.00
_cell_angle_beta 90.00
_cell_angle_gamma 90.00
loop_
_atom_site_label
_atom_site_type_symbol
_atom_site_fract_x
_atom_site_fract_y
_atom_site_fract_z
Y1 Y 0.000 0.000 0.000
In1 In 0.000 0.000 0.500
Os1 Os 0.000 0.500 0.254


[6]
# PBE NaSi3Pd6, optimized geometry
# Volume, Å³ per cell: 317.2
# DOS at the Fermi energy, states/eV/f.u.: 2.69
# Formation energy (no corrections), eV/atom: -0.468
data_NaSi3Pd6
_chemical_formula_sum 'Na2 Si6 Pd12'
_symmetry_space_group_name_H-M 'P 1 21/m 1'
_symmetry_Int_Tables_number 11
_cell_length_a 9.553
_cell_length_b 3.014
_cell_length_c 11.408
_cell_angle_alpha 90.00
_cell_angle_beta 105.07
_cell_angle_gamma 90.00
loop_
_symmetry_equiv_pos_as_xyz
'x,y,z'
'-x,-y,-z'
'-x,y+1/2,-z'
'x,-y+1/2,z'
loop_
_atom_site_label
_atom_site_type_symbol
_atom_site_fract_x
_atom_site_fract_y
_atom_site_fract_z
Na1 Na 0.019 0.250 0.220
Si1 Si 0.097 0.250 0.590
Si2 Si 0.300 0.750 0.946
Si3 Si 0.354 0.250 0.374
Pd1 Pd 0.133 0.250 0.003
Pd2 Pd 0.176 0.750 0.447
Pd3 Pd 0.266 0.750 0.726
Pd4 Pd 0.287 0.750 0.211
Pd5 Pd 0.436 0.250 0.592
Pd6 Pd 0.460 0.250 0.093


[7]
# PBE Tb12Pr2Dy5, optimized geometry
# Volume, Å³ per cell: 1255.2
# DOS at the Fermi energy, states/eV/f.u.: 27.55
# ΔH_f (0 K), eV/f.u.: 2.54
# Distance to the lowest polymorph of the same formula, kJ per mole of atoms: 4.5
data_Tb12Pr2Dy5
_chemical_formula_sum 'Tb24 Pr4 Dy10'
_symmetry_space_group_name_H-M 'C 1 2/m 1'
_symmetry_Int_Tables_number 12
_cell_length_a 15.809
_cell_length_b 9.253
_cell_length_c 8.582
_cell_angle_alpha 90.00
_cell_angle_beta 91.08
_cell_angle_gamma 90.00
loop_
_symmetry_equiv_pos_as_xyz
'x,y,z'
'-x,-y,-z'
'-x,y,-z'
'x,-y,z'
'x+1/2,y+1/2,z'
'-x+1/2,-y+1/2,-z'
'-x+1/2,y+1/2,-z'
'x+1/2,-y+1/2,z'
loop_
_atom_site_label
_atom_site_type_symbol
_atom_site_fract_x
_atom_site_fract_y
_atom_site_fract_z
Tb1 Tb 0.059 0.000 0.332
Tb2 Tb 0.092 0.500 0.882
Tb3 Tb 0.126 0.191 0.655
Tb4 Tb 0.156 0.320 0.244
Pr1 Pr 0.000 0.183 0.000
Dy1 Dy 0.000 0.500 0.500
Dy2 Dy 0.198 0.000 0.011
Dy3 Dy 0.231 0.500 0.575


Computed values of total magnetic moment (unit: μB per formula unit) for the preceding records, in sequence: 0.00; 0.00; 1.69; 0.00; 0.00; 0.00; 0.00.
Computed values of raw total energy (unit: eV/atom) for the preceding records, in sequence: -4.10; -4.78; -2.35; -6.72; -7.36; -5.34; -4.50.